[1]
A geometry-optimized RbBaCN2 structure. Source: Alexandria, functional PBE.

Its energy is -6.288 eV/atom.

The space group is P2/c (No. 13) and the conventional cell measures 7.505, 5.986 and 8.600 Å, with angles of 90.00, 124.75 and 90.00 degrees. The asymmetric unit holds Rb at (0.000, 0.017, 0.250), Ba at (0.500, 0.500, 0.250), C at (0.500, 0.000, 0.000) and N at (0.489, 0.207, 0.495).



[2]
A geometry-optimized Ba2RhCN structure. Source: Alexandria, functional PBE.

Its energy is -5.331 eV/atom.

The space group is P4/mmm (No. 123) and the conventional cell measures 5.632, 5.632 and 3.810 Å, with angles of 90.00, 90.00 and 90.00 degrees. The asymmetric unit holds Ba at (0.000, 0.500, 0.000), Rh at (0.000, 0.000, 0.500), C at (0.500, 0.500, 0.500) and N at (0.000, 0.000, 0.000).



[3]
A geometry-optimized BaCSN2 structure. Source: Alexandria, functional PBE.

The relative energy among the computed polymorphs comes out at 0.000 eV per atom. Its energy is -4.803 eV/atom.

The space group is P4/mmm (No. 123) and the conventional cell measures 4.268, 4.268 and 4.100 Å, with angles of 90.00, 90.00 and 90.00 degrees. The asymmetric unit holds Ba at (0.000, 0.000, 0.000), C at (0.500, 0.500, 0.500), S at (0.500, 0.500, 0.000) and N at (0.000, 0.500, 0.500).



[4]
A geometry-optimized BaCSN2 structure. Source: Alexandria, functional PBE.

The relative energy among the computed polymorphs comes out at 1.316 eV per atom. Its energy is -3.486 eV/atom.

The space group is P4/mmm (No. 123) and the conventional cell measures 5.361, 5.361 and 6.357 Å, with angles of 90.00, 90.00 and 90.00 degrees. The asymmetric unit holds Ba at (0.000, 0.000, 0.000), C at (0.500, 0.500, 0.500), S at (0.000, 0.000, 0.500) and N at (0.000, 0.500, 0.000).



[5]
A geometry-optimized BaCSeN2 structure. Source: Alexandria, functional PBE.

The relative energy among the computed polymorphs comes out at 1.151 eV per atom. Its energy is -3.452 eV/atom.

The space group is P4/mmm (No. 123) and the conventional cell measures 5.093, 5.093 and 6.453 Å, with angles of 90.00, 90.00 and 90.00 degrees. The asymmetric unit holds Ba at (0.000, 0.000, 0.000), C at (0.500, 0.500, 0.500), Se at (0.000, 0.000, 0.500) and N at (0.000, 0.500, 0.000).



[6]
A geometry-optimized BaCSeN2 structure. Source: Alexandria, functional PBE.

The relative energy among the computed polymorphs comes out at 0.000 eV per atom. Its energy is -4.603 eV/atom.

The space group is P4/mmm (No. 123) and the conventional cell measures 4.381, 4.381 and 4.257 Å, with angles of 90.00, 90.00 and 90.00 degrees. The asymmetric unit holds Ba at (0.000, 0.000, 0.000), C at (0.500, 0.500, 0.500), Se at (0.500, 0.500, 0.000) and N at (0.000, 0.500, 0.500).



[7]
A geometry-optimized Ba3SmC2N6 structure. Source: Alexandria, functional PBE.

Its energy is -7.209 eV/atom.

The space group is P-3m1 (No. 164) and the conventional cell measures 5.8328, 5.8328 and 7.0477 Å, with angles of 90.00, 90.00 and 120.00 degrees. The asymmetric unit holds Ba at (0.0000, 0.0000, 0.0000), Ba at (0.3333, 0.6667, 0.6803), Sm at (0.0000, 0.0000, 0.5000), C at (0.3333, 0.6667, 0.2826) and N at (0.1971, 0.3943, 0.2918).



[8]
A geometry-optimized BaTbC3N6 structure. Source: Alexandria, functional PBE.

Its energy is -8.162 eV/atom.

The space group is R32 (No. 155, hexagonal axes) and the conventional cell measures 10.4360, 10.4360 and 7.4662 Å, with angles of 90.00, 90.00 and 120.00 degrees. The asymmetric unit holds Ba at (0.0000, 0.0000, 0.0000), Tb at (0.0000, 0.0000, 0.5000), C at (0.0000, 0.5020, 0.0000) and N at (0.0984, 0.8978, 0.2953).



[9]
A geometry-optimized Ba3TbC2N6 structure. Source: Alexandria, functional PBE.

Its energy is -7.222 eV/atom.

The space group is P-3m1 (No. 164) and the conventional cell measures 5.7885, 5.7885 and 7.0160 Å, with angles of 90.00, 90.00 and 120.00 degrees. The asymmetric unit holds Ba at (0.0000, 0.0000, 0.0000), Ba at (0.3333, 0.6667, 0.6830), Tb at (0.0000, 0.0000, 0.5000), C at (0.3333, 0.6667, 0.2861) and N at (0.1959, 0.3919, 0.2950).



[10]
A geometry-optimized BaTb2C2N6 structure. Source: Alexandria, functional PBE.

Its energy is -7.821 eV/atom.

The space group is C2/m (No. 12) and the conventional cell measures 10.096, 6.185 and 6.180 Å, with angles of 90.00, 114.85 and 90.00 degrees. The asymmetric unit holds Ba at (0.000, 0.000, 0.000), Tb at (0.175, 0.500, 0.311), C at (0.165, 0.500, 0.756), N at (0.076, 0.500, 0.869) and N at (0.213, 0.315, 0.696).



[11]
A geometry-optimized BaTeCN2 structure. Source: Alexandria, functional PBE.

The relative energy among the computed polymorphs comes out at 1.003 eV per atom. Its energy is -3.345 eV/atom.

The space group is P4/mmm (No. 123) and the conventional cell measures 4.520, 4.520 and 7.533 Å, with angles of 90.00, 90.00 and 90.00 degrees. The asymmetric unit holds Ba at (0.000, 0.000, 0.000), Te at (0.000, 0.000, 0.500), C at (0.500, 0.500, 0.500) and N at (0.000, 0.500, 0.000).



[12]
A geometry-optimized BaTeCN2 structure. Source: Alexandria, functional PBE.

The relative energy among the computed polymorphs comes out at 0.000 eV per atom. Its energy is -4.348 eV/atom.

The space group is P4/mmm (No. 123) and the conventional cell measures 4.627, 4.627 and 4.424 Å, with angles of 90.00, 90.00 and 90.00 degrees. The asymmetric unit holds Ba at (0.000, 0.000, 0.000), Te at (0.500, 0.500, 0.000), C at (0.500, 0.500, 0.500) and N at (0.000, 0.500, 0.500).



[13]
A geometry-optimized Ba3VC2N6 structure. Source: Alexandria, functional PBE.

Its energy is -7.323 eV/atom.

The space group is P-3m1 (No. 164) and the conventional cell measures 5.5095, 5.5095 and 6.6959 Å, with angles of 90.00, 90.00 and 120.00 degrees. The asymmetric unit holds Ba at (0.0000, 0.0000, 0.0000), Ba at (0.3333, 0.6667, 0.7174), V at (0.0000, 0.0000, 0.5000), C at (0.3333, 0.6667, 0.3135) and N at (0.1873, 0.3747, 0.3150).



[14]
A geometry-optimized Ba3YC2N6 structure. Source: Alexandria, functional PBE.

Its energy is -7.373 eV/atom.

The space group is P-3m1 (No. 164) and the conventional cell measures 5.7816, 5.7816 and 7.0098 Å, with angles of 90.00, 90.00 and 120.00 degrees. The asymmetric unit holds Ba at (0.0000, 0.0000, 0.0000), Ba at (0.3333, 0.6667, 0.6840), Y at (0.0000, 0.0000, 0.5000), C at (0.3333, 0.6667, 0.2868) and N at (0.1957, 0.3915, 0.2952).



[15]
A geometry-optimized Ba2Na2C structure. Source: Alexandria, functional PBE.

The formation energy comes out at 1.03 eV per atom. The relative energy among the computed polymorphs comes out at 0.057 eV per atom. Its energy is -2.112 eV/atom.

The space group is I4/mmm (No. 139) and the conventional cell measures 6.592, 6.592 and 7.714 Å, with angles of 90.00, 90.00 and 90.00 degrees. The asymmetric unit holds Ba at (0.000, 0.500, 0.250), Na at (0.000, 0.000, 0.187) and C at (0.000, 0.000, 0.500).



[16]
A geometry-optimized BaNa2C structure. Source: Alexandria, functional PBE.

The formation energy comes out at 1.09 eV per atom. Its energy is -2.360 eV/atom.

The space group is I4_1/amd (No. 141, origin choice 2) and the conventional cell measures 5.065, 5.065 and 17.569 Å, with angles of 90.00, 90.00 and 90.00 degrees. The asymmetric unit holds Ba at (0.000, 0.250, 0.375), Na at (0.000, 0.000, 0.000) and C at (0.000, 0.250, 0.875).



[17]
A geometry-optimized BaNaC2 structure. Source: Alexandria, functional PBE.

The formation energy comes out at 1.71 eV per atom. The relative energy among the computed polymorphs comes out at 0.000 eV per atom. Its energy is -3.715 eV/atom.

The space group is I4_1/amd (No. 141, origin choice 2) and the conventional cell measures 4.290, 4.290 and 16.517 Å, with angles of 90.00, 90.00 and 90.00 degrees. The asymmetric unit holds Ba at (0.000, 0.250, 0.375), Na at (0.000, 0.250, 0.875) and C at (0.000, 0.000, 0.000).



[18]
A geometry-optimized Ba3NaC structure. Source: Alexandria, functional PBE.

The formation energy comes out at 0.41 eV per atom. The relative energy among the computed polymorphs comes out at 0.000 eV per atom. Its energy is -2.855 eV/atom.

The space group is Pm-3m (No. 221) and the conventional cell measures 5.952, 5.952 and 5.952 Å, with angles of 90.00, 90.00 and 90.00 degrees. The asymmetric unit holds Ba at (0.000, 0.000, 0.500), Na at (0.500, 0.500, 0.500) and C at (0.000, 0.000, 0.000).



[19]
A geometry-optimized BaNaC2 structure. Source: Alexandria, functional PBE.

The formation energy comes out at 1.82 eV per atom. The relative energy among the computed polymorphs comes out at 0.111 eV per atom. Its energy is -3.604 eV/atom.

The space group is Fm-3m (No. 225) and the conventional cell measures 6.704, 6.704 and 6.704 Å, with angles of 90.00, 90.00 and 90.00 degrees. The asymmetric unit holds Ba at (0.000, 0.000, 0.000), Na at (0.000, 0.000, 0.500) and C at (0.250, 0.250, 0.250).



[20]
A geometry-optimized Ba2Na2C structure. Source: Alexandria, functional PBE.

The formation energy comes out at 0.97 eV per atom. The relative energy among the computed polymorphs comes out at 0.000 eV per atom. Its energy is -2.170 eV/atom.

The space group is P4/mbm (No. 127) and the conventional cell measures 7.303, 7.303 and 5.762 Å, with angles of 90.00, 90.00 and 90.00 degrees. The asymmetric unit holds Ba at (0.192, 0.308, 0.000), Na at (0.162, 0.662, 0.500) and C at (0.000, 0.000, 0.500).



[21]
A geometry-optimized Ba2NaNiC structure. Source: Alexandria, functional PBE.

The formation energy comes out at 0.21 eV per atom. Its energy is -3.828 eV/atom.

The space group is P4/mmm (No. 123) and the conventional cell measures 6.068, 6.068 and 3.721 Å, with angles of 90.00, 90.00 and 90.00 degrees. The asymmetric unit holds Ba at (0.000, 0.500, 0.000), Na at (0.000, 0.000, 0.500), Ni at (0.500, 0.500, 0.500) and C at (0.500, 0.500, 0.000).



[22]
A geometry-optimized BaNaC2O6 structure. Source: Alexandria, functional PBE.

Its energy is -6.938 eV/atom.

The space group is C2/c (No. 15) and the conventional cell measures 9.295, 10.119 and 7.083 Å, with angles of 90.00, 111.62 and 90.00 degrees. The asymmetric unit holds Ba at (0.000, 0.137, 0.250), Na at (0.000, 0.328, 0.750), C at (0.231, 0.421, 0.214), O at (0.128, 0.336, 0.115), O at (0.132, 0.119, 0.666) and O at (0.203, 0.454, 0.695).



[23]
A geometry-optimized BaNa2C2O6 structure. Source: Alexandria, functional PBE.

Its energy is -6.706 eV/atom.

The space group is P-3 (No. 147) and the conventional cell measures 5.5320, 5.5320 and 6.7036 Å, with angles of 90.00, 90.00 and 120.00 degrees. The asymmetric unit holds Ba at (0.0000, 0.0000, 0.0000), Na at (0.3333, 0.6667, 0.3650), C at (0.3333, 0.6667, 0.7619) and O at (0.0905, 0.6510, 0.7594).



[24]
A geometry-optimized BaNaC2O structure. Source: Alexandria, functional PBE.

Its energy is -3.672 eV/atom.

The space group is P4/mmm (No. 123) and the conventional cell measures 4.345, 4.345 and 4.795 Å, with angles of 90.00, 90.00 and 90.00 degrees. The asymmetric unit holds Ba at (0.000, 0.000, 0.000), Na at (0.500, 0.500, 0.000), C at (0.000, 0.500, 0.500) and O at (0.000, 0.000, 0.500).